1.
A plane-wave DFT calculation with GGA-PBE was carried out for crystalline VCuOsRh at its relaxed geometry.

Structure (POSCAR):
```
VCuOsRh
1.0
-3.4798 -2.1758 -1.0547
-0.1765 -2.0475 -3.7057
0.0947 -4.2354 -0.0871
Rh V Os Cu
1 1 1 1
Direct
0.7500 0.7500 0.7500
0.5000 0.5000 0.5000
0.2500 0.2500 0.2500
0.0000 0.0000 0.0000
```

ρ   12.58 g/cm3
Fermi-level density of states   5.91 states/eV/cell
Formation enthalpy at 0 K   -0.0604 eV/atom

---

2.
A plane-wave DFT calculation with GGA-PBE was carried out for crystalline CuOsRhW at its relaxed geometry.

Structure (POSCAR):
```
CuOsRhW
1.0
4.3289 0.0000 0.0000
2.1645 3.7490 0.0000
2.1645 1.2497 3.5346
Cu Os Rh W
1 1 1 1
Direct
0.2500 0.2500 0.2500
0.5000 0.5000 0.5000
0.0000 0.0000 0.0000
0.7500 0.7500 0.7500
```

ρ   15.65 g/cm3
Fermi-level density of states   1.35 states/eV/cell
Formation enthalpy at 0 K   0.0656 eV/atom

---

3.
A plane-wave DFT calculation with GGA-PBE was carried out for crystalline CuOsRu at its relaxed geometry.

Structure (POSCAR):
```
CuOsRu
1.0
4.5962 0.0000 0.0023
0.0000 4.3937 0.0000
-2.2808 0.0000 3.9965
Os Cu Ru
2 2 2
Direct
0.4916 0.7500 0.6571
0.5084 0.2500 0.3429
0.8268 0.7500 0.3247
0.1732 0.2500 0.6753
0.8353 0.2500 0.0122
0.1647 0.7500 0.9878
```

E above lowest polymorph   36 meV per atom
ρ   14.60 g/cm3
Fermi-level density of states   5.85 states/eV/cell
Formation enthalpy at 0 K   0.2250 eV/atom

---

4.
A plane-wave DFT calculation with GGA-PBE was carried out for crystalline Cu2OsRu at its relaxed geometry.

Structure (POSCAR):
```
Cu2OsRu
1.0
-2.4068 -0.6961 -0.7685
2.0088 -1.5574 -0.6380
-1.1197 -4.5806 7.6562
Os Cu Ru
1 2 1
Direct
0.5000 0.5000 0.2500
0.0000 0.0000 0.9991
0.0000 0.0000 0.5009
0.5000 0.5000 0.7500
```

E above lowest polymorph   246 meV per atom
ρ   12.78 g/cm3
Fermi-level density of states   4.67 states/eV/cell
Formation enthalpy at 0 K   0.4309 eV/atom

---

5.
A plane-wave DFT calculation with GGA-PBE was carried out for crystalline CuOsRu at its relaxed geometry.

Structure (POSCAR):
```
CuOsRu
1.0
-0.2491 4.3078 3.8086
0.4360 0.9614 5.6578
1.8179 -2.3513 -4.9286
Os Cu Ru
1 1 1
Direct
0.3305 0.3305 0.0000
0.9994 0.9994 0.0000
0.6701 0.6701 0.0000
```

E above lowest polymorph   34 meV per atom
ρ   14.42 g/cm3
Fermi-level density of states   2.05 states/eV/cell
Formation enthalpy at 0 K   0.2228 eV/atom

---

6.
A plane-wave DFT calculation with GGA-PBE was carried out for crystalline CuOsRu at its relaxed geometry.

Structure (POSCAR):
```
CuOsRu
1.0
-1.4594 4.3434 -0.5813
-2.4198 1.1401 -3.7754
-3.8986 1.4673 2.8698
Os Ru Cu
2 2 2
Direct
0.5011 0.5849 0.2497
0.4989 0.4151 0.7503
0.8345 0.9136 0.2477
0.1655 0.0864 0.7523
0.1655 0.2514 0.2526
0.8345 0.7486 0.7474
```

E above lowest polymorph   9 meV per atom
ρ   14.60 g/cm3
Fermi-level density of states   4.59 states/eV/cell
Formation enthalpy at 0 K   0.1981 eV/atom

---

7.
A plane-wave DFT calculation with GGA-PBE was carried out for crystalline Cu2OsRu at its relaxed geometry.

Structure (POSCAR):
```
Cu2OsRu
1.0
4.5365 0.0040 0.0000
1.3770 4.3224 0.0000
-2.9567 -2.1632 2.6754
Cu Ru Os
2 1 1
Direct
0.2500 0.7500 0.5000
0.0000 0.0000 0.0000
0.7500 0.2500 0.5000
0.5000 0.5000 0.0000
```

E above lowest polymorph   111 meV per atom
ρ   13.25 g/cm3
Fermi-level density of states   4.20 states/eV/cell
Formation enthalpy at 0 K   0.2959 eV/atom

---

8.
A plane-wave DFT calculation with GGA-PBE was carried out for crystalline Cu2OsRu at its relaxed geometry.

Structure (POSCAR):
```
Cu2OsRu
1.0
2.7469 0.0000 0.0000
0.0000 2.7469 0.0000
0.0000 0.0000 7.0401
Cu Os Ru
2 1 1
Direct
0.0000 0.0000 0.0112
0.5000 0.5000 0.2390
0.0000 0.0000 0.5032
0.5000 0.5000 0.7466
```

E above lowest polymorph   1 meV per atom
ρ   13.08 g/cm3
Fermi-level density of states   3.64 states/eV/cell
Formation enthalpy at 0 K   0.1859 eV/atom

---

9.
A plane-wave DFT calculation with GGA-PBE was carried out for crystalline CuOsRu at its relaxed geometry.

Structure (POSCAR):
```
CuOsRu
1.0
5.1633 0.0000 0.0018
0.0000 4.6172 0.0000
-4.2866 0.0000 6.7708
Cu Ru Os
4 4 4
Direct
0.0000 0.4261 0.5000
0.5000 0.5913 0.5000
0.0000 0.9261 0.0000
0.5000 0.0913 0.0000
0.5030 0.5909 0.8346
0.4970 0.0909 0.6654
0.4970 0.5909 0.1654
0.5030 0.0909 0.3346
0.9995 0.4239 0.8318
0.0005 0.4239 0.1682
0.9995 0.9239 0.3318
0.0005 0.9239 0.6682
```

E above lowest polymorph   6 meV per atom
ρ   14.60 g/cm3
Fermi-level density of states   9.86 states/eV/cell
Formation enthalpy at 0 K   0.1952 eV/atom

---

10.
A plane-wave DFT calculation with GGA-PBE was carried out for crystalline Cu2OsRu at its relaxed geometry.

Structure (POSCAR):
```
Cu2OsRu
1.0
6.8026 0.0000 0.0000
0.0000 6.8026 0.0000
3.4013 3.4013 2.4912
Cu Ru Os
4 2 2
Direct
0.8750 0.8777 0.7500
0.1223 0.6250 0.2500
0.6277 0.1250 0.2500
0.3750 0.3723 0.7500
0.5000 0.5000 0.0000
0.2500 0.7500 0.5000
0.7500 0.2500 0.5000
0.0000 0.0000 0.0000
```

E above lowest polymorph   806 meV per atom
ρ   12.05 g/cm3
Fermi-level density of states   11.81 states/eV/cell
Formation enthalpy at 0 K   0.9908 eV/atom

---

11.
A plane-wave DFT calculation with GGA-PBE was carried out for crystalline CuOsRu at its relaxed geometry.

Structure (POSCAR):
```
CuOsRu
1.0
-0.6740 4.0399 0.0115
-3.6311 1.4738 -1.1909
-2.5464 1.6435 2.7550
Cu Ru Os
1 1 1
Direct
0.5000 0.5000 0.5000
0.0000 0.0000 0.0000
0.7500 0.7500 0.7500
```

E above lowest polymorph   532 meV per atom
ρ   12.13 g/cm3
Fermi-level density of states   3.87 states/eV/cell
Formation enthalpy at 0 K   0.7206 eV/atom

---

12.
A plane-wave DFT calculation with GGA-PBE was carried out for crystalline Cu2OsRu at its relaxed geometry.

Structure (POSCAR):
```
Cu2OsRu
1.0
2.6309 -0.0036 0.0000
-1.2134 2.3344 0.0000
0.0000 0.0000 8.9066
Cu Ru Os
2 1 1
Direct
0.0000 0.0000 0.0077
0.5000 0.5000 0.2419
0.5000 0.5000 0.7515
0.0000 0.0000 0.4989
```

E above lowest polymorph   202 meV per atom
ρ   12.71 g/cm3
Fermi-level density of states   4.59 states/eV/cell
Formation enthalpy at 0 K   0.3873 eV/atom

---

13.
A plane-wave DFT calculation with GGA-PBE was carried out for crystalline CuOsRu at its relaxed geometry.

Structure (POSCAR):
```
CuOsRu
1.0
5.1508 0.0000 0.0016
0.0000 4.6220 0.0000
-4.2791 0.0000 6.7791
Ru Os Cu
4 4 4
Direct
0.7076 0.1673 0.5093
0.2076 0.8327 0.0093
0.7076 0.6673 0.0093
0.2076 0.3327 0.5093
0.7102 0.1655 0.1757
0.7102 0.6655 0.6757
0.2102 0.8345 0.6757
0.2102 0.3345 0.1757
0.2095 0.3325 0.8429
0.7095 0.6675 0.3429
0.7095 0.1675 0.8429
0.2095 0.8325 0.3429
```

E above lowest polymorph   14 meV per atom
ρ   14.60 g/cm3
Fermi-level density of states   10.06 states/eV/cell
Formation enthalpy at 0 K   0.2030 eV/atom

---

14.
A plane-wave DFT calculation with GGA-PBE was carried out for crystalline Cu2OsRu at its relaxed geometry.

Structure (POSCAR):
```
Cu2OsRu
1.0
-0.8332 3.4671 -2.3090
-2.4112 -2.3215 -2.6159
-2.3043 0.5410 1.6439
Cu Ru Os
2 1 1
Direct
0.5000 0.5000 0.0000
0.0000 0.0000 0.0000
0.0000 0.5000 0.5000
0.5000 0.0000 0.5000
```

E above lowest polymorph   330 meV per atom
ρ   13.36 g/cm3
Fermi-level density of states   3.75 states/eV/cell
Formation enthalpy at 0 K   0.5147 eV/atom

---

15.
A plane-wave DFT calculation with GGA-PBE was carried out for crystalline CuOsRu at its relaxed geometry.

Structure (POSCAR):
```
CuOsRu
1.0
4.4014 0.0000 0.0000
0.0000 7.9343 0.0000
0.0000 0.0000 4.6243
Ru Cu Os
4 4 4
Direct
0.0000 0.1638 0.8471
0.0000 0.6638 0.3471
0.0000 0.8362 0.8471
0.0000 0.3362 0.3471
0.5000 0.0000 0.0041
0.0000 0.5000 0.8485
0.0000 0.0000 0.3485
0.5000 0.5000 0.5041
0.5000 0.3356 0.0032
0.5000 0.1644 0.5032
0.5000 0.6644 0.0032
0.5000 0.8356 0.5032
```

E above lowest polymorph   37 meV per atom
ρ   14.59 g/cm3
Fermi-level density of states   11.87 states/eV/cell
Formation enthalpy at 0 K   0.2255 eV/atom

---

16.
A plane-wave DFT calculation with GGA-PBE was carried out for crystalline CuOsRu at its relaxed geometry.

Structure (POSCAR):
```
CuOsRu
1.0
-3.9986 3.5385 1.2932
-3.7271 -1.7146 -6.8326
0.1444 -4.4866 1.0471
Ru Cu Os
4 4 4
Direct
0.2500 0.4188 0.7500
0.2500 0.9188 0.2500
0.7500 0.5812 0.2500
0.7500 0.0812 0.7500
0.2500 0.2483 0.2500
0.7500 0.2517 0.2500
0.7500 0.7517 0.7500
0.2500 0.7483 0.7500
0.7500 0.9228 0.2500
0.2500 0.0772 0.7500
0.7500 0.4228 0.7500
0.2500 0.5772 0.2500
```

E above lowest polymorph   0 meV per atom
ρ   14.55 g/cm3
Fermi-level density of states   8.30 states/eV/cell
Formation enthalpy at 0 K   0.1892 eV/atom

---

17.
A plane-wave DFT calculation with GGA-PBE was carried out for crystalline Cu2Os2Ru at its relaxed geometry.

Structure (POSCAR):
```
Cu2Os2Ru
1.0
3.2601 0.0000 0.0000
0.0000 3.2601 0.0000
1.6300 1.6300 6.7685
Cu Ru Os
2 1 2
Direct
0.7500 0.2500 0.5000
0.2500 0.7500 0.5000
0.0000 0.0000 0.0000
0.5977 0.5977 0.8047
0.4023 0.4023 0.1953
```

E above lowest polymorph   48 meV per atom
ρ   14.05 g/cm3
Fermi-level density of states   7.61 states/eV/cell
Formation enthalpy at 0 K   0.8144 eV/atom

---

18.
A plane-wave DFT calculation with GGA-PBE was carried out for crystalline Cu2OsRu at its relaxed geometry.

Structure (POSCAR):
```
Cu2OsRu
1.0
-1.3170 -3.6387 1.6017
-3.6200 -0.1762 2.0985
-3.3011 -1.9547 -1.6797
Cu Ru Os
2 1 1
Direct
0.7500 0.7500 0.7500
0.2500 0.2500 0.2500
0.0000 0.0000 0.0000
0.5000 0.5000 0.5000
```

E above lowest polymorph   334 meV per atom
ρ   13.38 g/cm3
Fermi-level density of states   2.88 states/eV/cell
Formation enthalpy at 0 K   0.5189 eV/atom

---

19.
A plane-wave DFT calculation with GGA-PBE was carried out for crystalline Cu2OsRu at its relaxed geometry.

Structure (POSCAR):
```
Cu2OsRu
1.0
3.9287 0.0000 0.0000
0.0000 3.6793 0.0000
0.0000 0.0000 3.6793
Os Cu Ru
1 2 1
Direct
0.5000 0.5000 0.0000
0.0000 0.0000 0.0000
0.0000 0.5000 0.5000
0.5000 0.0000 0.5000
```

E above lowest polymorph   293 meV per atom
ρ   13.06 g/cm3
Fermi-level density of states   6.26 states/eV/cell
Formation enthalpy at 0 K   0.4783 eV/atom

---

20.
A plane-wave DFT calculation with GGA-PBE was carried out for crystalline Cu2OsRu at its relaxed geometry.

Structure (POSCAR):
```
Cu2OsRu
1.0
4.5839 0.0076 -0.0039
3.8198 2.5341 -0.0039
0.7598 0.2298 4.5897
Ru Cu Os
1 2 1
Direct
0.2500 0.2500 0.2500
0.4994 0.4994 0.5004
0.0006 0.0006 0.9996
0.7500 0.7500 0.7500
```

E above lowest polymorph   148 meV per atom
ρ   13.06 g/cm3
Fermi-level density of states   4.90 states/eV/cell
Formation enthalpy at 0 K   0.3331 eV/atom

---

21.
A plane-wave DFT calculation with GGA-PBE was carried out for crystalline Cu2OsRu at its relaxed geometry.

Structure (POSCAR):
```
Cu2OsRu
1.0
-2.8307 4.0415 -1.5581
-4.1672 -0.8040 -2.9600
2.4866 -0.7035 4.4828
Ru Cu Os
1 2 1
Direct
0.2500 0.7500 0.5000
0.9990 0.9990 0.0000
0.5010 0.5010 0.0000
0.7500 0.2500 0.5000
```

E above lowest polymorph   247 meV per atom
ρ   12.83 g/cm3
Fermi-level density of states   5.24 states/eV/cell
Formation enthalpy at 0 K   0.4319 eV/atom

---

22.
A plane-wave DFT calculation with GGA-PBE was carried out for crystalline CuOsRu at its relaxed geometry.

Structure (POSCAR):
```
CuOsRu
1.0
-1.4847 -2.4354 4.6899
3.5695 -0.3577 0.9442
0.5007 8.3190 1.2589
Os Cu Ru
4 4 4
Direct
0.1621 0.5000 0.8260
0.1621 0.0000 0.3260
0.8379 0.5000 0.1740
0.8379 0.0000 0.6740
0.0000 0.5000 0.5000
0.5000 0.0000 0.0000
0.5000 0.5000 0.5000
0.0000 0.0000 0.0000
0.3345 0.0000 0.6689
0.3345 0.5000 0.1689
0.6656 0.0000 0.3311
0.6656 0.5000 0.8311
```

E above lowest polymorph   0 meV per atom
ρ   14.53 g/cm3
Fermi-level density of states   7.39 states/eV/cell
Formation enthalpy at 0 K   0.1889 eV/atom

---

23.
A plane-wave DFT calculation with GGA-PBE was carried out for crystalline Cu2OsRu at its relaxed geometry.

Structure (POSCAR):
```
Cu2OsRu
1.0
-2.4563 -0.8144 3.9629
-3.8717 -2.6372 -0.6758
4.5526 -0.4204 -1.2239
Cu Ru Os
2 1 1
Direct
0.0000 0.0000 0.0000
0.5000 0.5000 0.0000
0.7500 0.2500 0.5000
0.2500 0.7500 0.5000
```

E above lowest polymorph   280 meV per atom
ρ   13.07 g/cm3
Fermi-level density of states   5.33 states/eV/cell
Formation enthalpy at 0 K   0.4649 eV/atom

---

24.
A plane-wave DFT calculation with GGA-PBE was carried out for crystalline Cu2OsRu at its relaxed geometry.

Structure (POSCAR):
```
Cu2OsRu
1.0
-2.0098 -1.4681 3.4154
0.6704 -3.9630 1.3056
2.1456 -0.7141 3.5701
Cu Ru Os
2 1 1
Direct
0.2500 0.2500 0.2500
0.0000 0.0000 0.0000
0.7500 0.7500 0.7500
0.5000 0.5000 0.5000
```

E above lowest polymorph   192 meV per atom
ρ   13.02 g/cm3
Fermi-level density of states   2.32 states/eV/cell
Formation enthalpy at 0 K   0.3775 eV/atom

---

25.
A plane-wave DFT calculation with GGA-PBE was carried out for crystalline Cu2OsRu at its relaxed geometry.

Structure (POSCAR):
```
Cu2OsRu
1.0
4.4754 0.0000 0.0000
0.0000 2.6209 -0.0036
0.0000 0.2066 4.6154
Cu Os Ru
2 1 1
Direct
0.0000 0.0013 0.0000
0.0000 0.4987 0.5000
0.5000 0.2500 0.2500
0.5000 0.7500 0.7500
```

E above lowest polymorph   233 meV per atom
ρ   12.83 g/cm3
Fermi-level density of states   3.65 states/eV/cell
Formation enthalpy at 0 K   0.4178 eV/atom

---

26.
A plane-wave DFT calculation with GGA-PBE was carried out for crystalline CuOsRu at its relaxed geometry.

Structure (POSCAR):
```
CuOsRu
1.0
-0.2759 -4.6083 2.5493
0.1848 -1.8306 -3.2891
8.3437 1.9904 -0.6389
Os Cu Ru
4 4 4
Direct
0.5604 0.0000 0.2952
0.7425 0.5000 0.1233
0.7425 0.0000 0.6233
0.5604 0.5000 0.7952
0.0677 0.5000 0.8085
0.9183 0.5000 0.4575
0.9183 0.0000 0.9575
0.0677 0.0000 0.3085
0.4293 0.5000 0.4737
0.2352 0.5000 0.1479
0.2352 0.0000 0.6479
0.4293 0.0000 0.9737
```

E above lowest polymorph   66 meV per atom
ρ   14.40 g/cm3
Fermi-level density of states   12.16 states/eV/cell
Formation enthalpy at 0 K   0.2545 eV/atom

---

27.
A plane-wave DFT calculation with GGA-PBE was carried out for crystalline Cu2OsRu at its relaxed geometry.

Structure (POSCAR):
```
Cu2OsRu
1.0
8.8379 0.0083 0.0048
8.4354 2.6370 0.0048
8.4354 1.2918 2.2989
Ru Os Cu
1 1 2
Direct
0.7500 0.7500 0.7500
0.2500 0.2500 0.2500
0.4999 0.4999 0.4999
0.0001 0.0001 0.0001
```

E above lowest polymorph   114 meV per atom
ρ   13.03 g/cm3
Fermi-level density of states   3.62 states/eV/cell
Formation enthalpy at 0 K   0.2992 eV/atom